No. 1
A relaxed CdRhCl crystal. Source: Alexandria, functional GGA-PBE.

The space group is P3m1 (No. 156) and the conventional cell measures 3.2783, 3.2783 and 6.0350 Å, with angles of 90.00, 90.00 and 120.00 degrees. The asymmetric unit holds Cd at (0.0000, 0.0000, 0.0000), Rh at (0.3333, 0.6667, 0.6688) and Cl at (0.6667, 0.3333, 0.3710).

The crystal system is trigonal.



No. 2
A relaxed Cd2RhCl crystal. Source: Alexandria, functional GGA-PBE.

The space group is P4mm (No. 99) and the conventional cell measures 3.131, 3.131 and 7.973 Å, with angles of 90.00, 90.00 and 90.00 degrees. The asymmetric unit holds Cd at (0.000, 0.000, 0.000), Cd at (0.500, 0.500, 0.292), Rh at (0.500, 0.500, 0.784) and Cl at (0.000, 0.000, 0.567).

The crystal system is tetragonal.



No. 3
A relaxed CdRh2Cl2 crystal. Source: Alexandria, functional GGA-PBE.

The space group is P4/mbm (No. 127) and the conventional cell measures 7.676, 7.676 and 3.066 Å, with angles of 90.00, 90.00 and 90.00 degrees. The asymmetric unit holds Cd at (0.000, 0.000, 0.000), Rh at (0.203, 0.297, 0.500) and Cl at (0.131, 0.631, 0.000).

The crystal system is tetragonal.



No. 4
A relaxed Cd2RhCl crystal. Source: Alexandria, functional GGA-PBE.

The space group is P4/mmm (No. 123) and the conventional cell measures 3.244, 3.244 and 7.484 Å, with angles of 90.00, 90.00 and 90.00 degrees. The asymmetric unit holds Cd at (0.000, 0.000, 0.217), Rh at (0.500, 0.500, 0.000) and Cl at (0.500, 0.500, 0.500).

The crystal system is tetragonal.



No. 5
A relaxed Cd2RhCl crystal. Source: Alexandria, functional GGA-PBE.

The space group is Pmm2 (No. 25) and the conventional cell measures 3.243, 4.706 and 4.980 Å, with angles of 90.00, 90.00 and 90.00 degrees. The asymmetric unit holds Cd at (0.000, 0.000, 0.000), Cd at (0.000, 0.500, 0.383), Rh at (0.500, 0.000, 0.486) and Cl at (0.500, 0.500, 0.848).

The crystal system is orthorhombic.



No. 6
A relaxed CdRhCl crystal. Source: Alexandria, functional GGA-PBE.

The space group is F-43m (No. 216) and the conventional cell measures 6.332, 6.332 and 6.332 Å, with angles of 90.00, 90.00 and 90.00 degrees. The asymmetric unit holds Cd at (0.000, 0.000, 0.000), Rh at (0.250, 0.250, 0.250) and Cl at (0.000, 0.000, 0.500).

The crystal system is cubic.



No. 7
A relaxed Cd2RhCl crystal. Source: Alexandria, functional GGA-PBE.

The space group is R-3m (No. 166, hexagonal axes) and the conventional cell measures 3.3268, 3.3268 and 25.1430 Å, with angles of 90.00, 90.00 and 120.00 degrees. The asymmetric unit holds Cd at (0.0000, 0.0000, 0.2455), Rh at (0.0000, 0.0000, 0.5000) and Cl at (0.0000, 0.0000, 0.0000).

The crystal system is trigonal.



No. 8
A relaxed Cd2RhCl crystal. Source: Alexandria, functional GGA-PBE.

The space group is Cm (No. 8) and the conventional cell measures 10.323, 3.270 and 4.686 Å, with angles of 90.00, 92.48 and 90.00 degrees. The asymmetric unit holds Cd at (0.000, 0.000, 0.000), Cd at (0.210, 0.500, 0.634), Rh at (0.264, 0.000, 0.120) and Cl at (0.443, 0.000, 0.476).

The crystal system is monoclinic.



No. 9
A relaxed Cd2RhCl crystal. Source: Alexandria, functional GGA-PBE.

The space group is Pmm2 (No. 25) and the conventional cell measures 3.424, 3.976 and 6.810 Å, with angles of 90.00, 90.00 and 90.00 degrees. The asymmetric unit holds Cd at (0.000, 0.000, 0.000), Cd at (0.500, 0.500, 0.308), Rh at (0.500, 0.500, 0.923) and Cl at (0.000, 0.000, 0.499).

The crystal system is orthorhombic.



No. 10
A relaxed Cd3RhCl crystal. Source: Alexandria, functional GGA-PBE.

The space group is Pm-3m (No. 221) and the conventional cell measures 5.075, 5.075 and 5.075 Å, with angles of 90.00, 90.00 and 90.00 degrees. The asymmetric unit holds Cd at (0.000, 0.000, 0.500), Rh at (0.500, 0.500, 0.500) and Cl at (0.000, 0.000, 0.000).

The crystal system is cubic.



No. 11
A relaxed CdRhCl crystal. Source: Alexandria, functional GGA-PBE.

The space group is P-6m2 (No. 187) and the conventional cell measures 4.3747, 4.3747 and 3.2763 Å, with angles of 90.00, 90.00 and 120.00 degrees. The asymmetric unit holds Cd at (0.0000, 0.0000, 0.0000), Rh at (0.3333, 0.6667, 0.5000) and Cl at (0.6667, 0.3333, 0.5000).

The crystal system is hexagonal.



No. 12
A relaxed Cd2RhCl crystal. Source: Alexandria, functional GGA-PBE.

The space group is P2/m (No. 10) and the conventional cell measures 3.263, 3.271 and 7.720 Å, with angles of 90.00, 90.07 and 90.00 degrees. The asymmetric unit holds Cd at (0.000, 0.000, 0.209), Rh at (0.500, 0.500, 0.000) and Cl at (0.000, 0.500, 0.500).

The crystal system is monoclinic.



No. 13
A relaxed Cd2RhCl crystal. Source: Alexandria, functional GGA-PBE.

The space group is Cmm2 (No. 35) and the conventional cell measures 3.134, 5.538 and 9.234 Å, with angles of 90.00, 90.00 and 90.00 degrees. The asymmetric unit holds Cd at (0.000, 0.000, 0.000), Cd at (0.000, 0.500, 0.286), Rh at (0.000, 0.500, 0.760) and Cl at (0.000, 0.000, 0.560).

The crystal system is orthorhombic.



No. 14
A relaxed Cd3RhCl crystal. Source: Alexandria, functional GGA-PBE.

The space group is Pm-3m (No. 221) and the conventional cell measures 5.197, 5.197 and 5.197 Å, with angles of 90.00, 90.00 and 90.00 degrees. The asymmetric unit holds Cd at (0.000, 0.000, 0.500), Rh at (0.000, 0.000, 0.000) and Cl at (0.500, 0.500, 0.500).

The crystal system is cubic.



No. 15
A relaxed Cd2RhCl crystal. Source: Alexandria, functional GGA-PBE.

The space group is Imm2 (No. 44) and the conventional cell measures 3.134, 4.550 and 12.111 Å, with angles of 90.00, 90.00 and 90.00 degrees. The asymmetric unit holds Cd at (0.000, 0.000, 0.000), Cd at (0.000, 0.500, 0.168), Rh at (0.000, 0.000, 0.482) and Cl at (0.000, 0.500, 0.804).

The crystal system is orthorhombic.



no.,formation energy (no corrections) (eV/atom),final energy (eV per atom)
1,0.0072,-3.364
2,0.0907,-2.666
3,0.4104,-3.452
4,-0.2698,-3.027
5,-0.0938,-2.851
6,0.2781,-3.093
7,-0.1760,-2.933
8,-0.0922,-2.849
9,-0.0318,-2.789
10,0.8800,-1.509
11,0.1461,-3.225
12,-0.3143,-3.071
13,0.0863,-2.671
14,0.0462,-2.343
15,-0.1432,-2.900